The following is a GGA-PBE calculation of an optimized crystal structure of Cs2CuSnO4, from Alexandria via LeMat-Bulk.

CIF file:
```
data_Cs2CuSnO4
_cell_length_a 5.610
_cell_length_b 13.099
_cell_length_c 22.099
_cell_angle_alpha 90.00
_cell_angle_beta 90.00
_cell_angle_gamma 90.00
_space_group_name_H-M_alt 'F d d d'
_space_group_IT_number 70
loop_
_space_group_symop_operation_xyz
'x,y,z'
'-x,-y,-z'
'-x+1/4,-y+1/4,z'
'x+1/4,y+1/4,-z'
'x,-y+1/4,-z+1/4'
'-x,y+1/4,z+1/4'
'-x+1/4,y,-z+1/4'
'x+1/4,-y,z+1/4'
'x,y+1/2,z+1/2'
'-x,-y+1/2,-z+1/2'
'-x+1/4,-y+3/4,z+1/2'
'x+1/4,y+3/4,-z+1/2'
'x,-y+3/4,-z+3/4'
'-x,y+3/4,z+3/4'
'-x+1/4,y+1/2,-z+3/4'
'x+1/4,-y+1/2,z+3/4'
'x+1/2,y,z+1/2'
'-x+1/2,-y,-z+1/2'
'-x+3/4,-y+1/4,z+1/2'
'x+3/4,y+1/4,-z+1/2'
'x+1/2,-y+1/4,-z+3/4'
'-x+1/2,y+1/4,z+3/4'
'-x+3/4,y,-z+3/4'
'x+3/4,-y,z+3/4'
'x+1/2,y+1/2,z'
'-x+1/2,-y+1/2,-z'
'-x+3/4,-y+3/4,z'
'x+3/4,y+3/4,-z'
'x+1/2,-y+3/4,-z+1/4'
'-x+1/2,y+3/4,z+1/4'
'-x+3/4,y+1/2,-z+1/4'
'x+3/4,-y+1/2,z+1/4'
loop_
_atom_site_label
_atom_site_type_symbol
_atom_site_fract_x
_atom_site_fract_y
_atom_site_fract_z
Cs1 Cs 0.125 0.125 0.306
Cu1 Cu 0.125 0.125 0.625
Sn1 Sn 0.125 0.125 0.125
O1 O 0.123 0.282 0.409
```

Results
Calculated volume: 25.38 A^3/atom
Density: 4.19 g/cm³
Energy: -4.853 eV/atom
Size of the total moment: 8.407 μB/cell